No. 1
The following is a DFT calculation (PBE) of a relaxed BaIrOsS2 crystal.

a b c (Å): 4.471 4.471 6.955
angles (deg): 90.00 90.00 90.00
Element x y z (fractional)
Ba 0.000 0.000 0.000
Ir 0.500 0.500 0.000
Os 0.000 0.000 0.500
S 0.000 0.500 0.500
S 0.500 0.000 0.500

For the formation energy from raw total energies, the calculation gives 0.70 eV per atom.

=====

No. 2
The following is a DFT calculation (PBE) of a relaxed Ba2YIrOs crystal.

a b c (Å): 6.011 6.011 4.767
angles (deg): 90.00 90.00 90.00
Element x y z (fractional)
Ba 0.000 0.500 0.000
Ba 0.500 0.000 0.000
Y 0.000 0.000 0.500
Ir 0.500 0.500 0.500
Os 0.500 0.500 0.000

The formation energy comes out at 0.772 eV/atom.